First-principles (GGA-PBE) data for MgTaFe2 after structural relaxation, as listed in Alexandria via LeMat-Bulk.

abc: 2.7127 2.7127 8.1559
angles: 90.00 90.00 90.00
Space group P4/mmm (No. 123)
Unique sites:
1 Mg 0.0000 0.0000 0.0000 x1
2 Ta 0.0000 0.0000 0.5000 x1
3 Fe 0.5000 0.5000 0.2501 x2

Volume = 15.004 A^3/atom
Magnetization = 1.051 μB/atom
Formation enthalpy at 0 K = 22 kJ/mol of atoms